(1)
Density functional theory data (PBE) for an optimized crystal structure of Cs3Nd2ErS6.

Summary:
Fermi-level density of states (states/eV/cell): 0.00
Formation energy (no corrections) (kJ/mol of atoms): -174.89

Unit cell a=7.2607 b=7.2607 c=8.4401 alpha=98.25 beta=98.25 gamma=120.00
With the nearest neighbours (Å) after each atom.
Element x y z (fractional)
Cs 0.0000 0.0000 0.0000  6 S 3.49-3.57
Cs 0.3320 0.6680 0.0000  6 S 3.49-3.56
Cs 0.6680 0.3320 0.0000  6 S 3.49-3.56
Nd 0.1666 0.8334 0.5000  6 S 2.87-2.88
Nd 0.8334 0.1666 0.5000  6 S 2.87-2.88
Er 0.5000 0.5000 0.5000  6 S 2.78
S 0.1157 0.4386 0.3159  1 Er 2.78, 2 Nd 2.87-2.88
S 0.2387 0.2387 0.6848  1 Er 2.78, 2 Nd 2.88
S 0.4386 0.1157 0.3159  1 Er 2.78, 2 Nd 2.87-2.88
S 0.5614 0.8843 0.6841  1 Er 2.78, 2 Nd 2.87-2.88
S 0.7613 0.7613 0.3152  1 Er 2.78, 2 Nd 2.88
S 0.8843 0.5614 0.6841  1 Er 2.78, 2 Nd 2.87-2.88


(2)
Density functional theory data (PBE) for an optimized crystal structure of Cs4Nd3ErS8.

Summary:
Fermi-level density of states (states/eV/cell): 0.00
Formation energy (no corrections) (kJ/mol of atoms): -174.64

Unit cell a=9.4397 b=9.4397 c=9.4397 alpha=52.94 beta=52.94 gamma=52.94
With the nearest neighbours (Å) after each atom.
Element x y z (fractional)
Cs 0.0000 0.0000 0.0000  6 S 3.58
Cs 0.0000 0.5000 0.5000  6 S 3.50-3.51
Cs 0.5000 0.0000 0.5000  6 S 3.50-3.51
Cs 0.5000 0.5000 0.0000  6 S 3.50-3.51
Nd 0.0000 0.0000 0.5000  6 S 2.87-2.88
Nd 0.0000 0.5000 0.0000  6 S 2.87-2.88
Nd 0.5000 0.0000 0.0000  6 S 2.87-2.88
Er 0.5000 0.5000 0.5000  6 S 2.79
S 0.2292 0.2292 0.2292  3 Nd 2.87
S 0.2374 0.7233 0.7233  1 Er 2.79, 2 Nd 2.88
S 0.2767 0.2767 0.7626  1 Er 2.79, 2 Nd 2.88
S 0.2767 0.7626 0.2767  1 Er 2.79, 2 Nd 2.88
S 0.7233 0.2374 0.7233  1 Er 2.79, 2 Nd 2.88
S 0.7233 0.7233 0.2374  1 Er 2.79, 2 Nd 2.88
S 0.7626 0.2767 0.2767  1 Er 2.79, 2 Nd 2.88
S 0.7708 0.7708 0.7708  3 Nd 2.87


(3)
Density functional theory data (PBE) for an optimized crystal structure of CsNdEr4S8.

Summary:
Fermi-level density of states (states/eV/cell): 0.00
Formation energy (no corrections) (kJ/mol of atoms): -178.26

Unit cell a=8.4453 b=8.4453 c=8.4453 alpha=58.35 beta=58.35 gamma=58.35
With the nearest neighbours (Å) after each atom.
Element x y z (fractional)
Cs 0.0000 0.0000 0.0000  4 S 2.97-3.01
Nd 0.6388 0.6388 0.6388  6 S 2.76-2.99
Er 0.1206 0.6365 0.6365  6 S 2.62-2.92
Er 0.2586 0.2586 0.2586  4 S 2.65-2.74
Er 0.6365 0.1206 0.6365  6 S 2.62-2.92
Er 0.6365 0.6365 0.1206  6 S 2.62-2.92
S 0.3864 0.3864 0.8657  3 Er 2.65-2.92
S 0.3864 0.8657 0.3864  3 Er 2.65-2.92
S 0.3893 0.3893 0.3893  4 Er 2.74-2.92
S 0.4438 0.8702 0.8702  2 Er 2.62, 1 Nd 2.76
S 0.8582 0.8582 0.8582  3 Er 2.63
S 0.8657 0.3864 0.3864  3 Er 2.65-2.92
S 0.8702 0.4438 0.8702  2 Er 2.62, 1 Nd 2.76
S 0.8702 0.8702 0.4438  2 Er 2.62, 1 Nd 2.76


(4)
Density functional theory data (PBE) for an optimized crystal structure of CsNdErTe3.

Summary:
Fermi-level density of states (states/eV/cell): 6.34
Formation energy (no corrections) (kJ/mol of atoms): -122.32

Unit cell a=9.7221 b=5.0988 c=11.4353 alpha=90.00 beta=114.43 gamma=90.00
With the nearest neighbours (Å) after each atom.
Element x y z (fractional)
Cs 0.0140 0.2500 0.2435  7 Te 3.88-4.34
Cs 0.9860 0.7500 0.7565  7 Te 3.88-4.34
Nd 0.4583 0.2500 0.1160  5 Te 3.14-3.36
Nd 0.5417 0.7500 0.8840  5 Te 3.14-3.36
Er 0.4939 0.2500 0.6362  5 Te 2.91-3.14
Er 0.5061 0.7500 0.3638  5 Te 2.91-3.14
Te 0.2369 0.7500 0.1231  1 Er 2.91
Te 0.3201 0.2500 0.8150  3 Nd 3.14-3.22, 1 Er 3.14
Te 0.3340 0.7500 0.5370  3 Er 2.96-3.08
Te 0.6660 0.2500 0.4630  3 Er 2.96-3.08
Te 0.6799 0.7500 0.1850  3 Nd 3.14-3.22, 1 Er 3.14
Te 0.7631 0.2500 0.8769  1 Er 2.91


(5)
Density functional theory data (PBE) for an optimized crystal structure of Cs3NdEr2Te6.

Summary:
Formation energy (no corrections) (kJ/mol of atoms): -133.36

Unit cell a=7.9282 b=7.9282 c=9.3091 alpha=98.17 beta=98.17 gamma=120.00
With the nearest neighbours (Å) after each atom.
Element x y z (fractional)
Cs 0.0000 0.0000 0.0000  6 Te 3.78-3.85
Cs 0.3359 0.6641 0.0000  6 Te 3.79-3.85
Cs 0.6641 0.3359 0.0000  6 Te 3.79-3.85
Nd 0.5000 0.5000 0.5000  6 Te 3.20
Er 0.1669 0.8331 0.5000  6 Te 3.11
Er 0.8331 0.1669 0.5000  6 Te 3.11
Te 0.0938 0.4364 0.3094  2 Er 3.11, 1 Nd 3.20
Te 0.2205 0.2205 0.6896  2 Er 3.11, 1 Nd 3.20
Te 0.4364 0.0938 0.3094  2 Er 3.11, 1 Nd 3.20
Te 0.5636 0.9062 0.6906  2 Er 3.11, 1 Nd 3.20
Te 0.7795 0.7795 0.3104  2 Er 3.11, 1 Nd 3.20
Te 0.9062 0.5636 0.6906  2 Er 3.11, 1 Nd 3.20


(6)
Density functional theory data (PBE) for an optimized crystal structure of CsErNpO6.

Summary:
Fermi-level density of states (states/eV/cell): 7.51
Formation energy (no corrections) (kJ/mol of atoms): -242.17

Unit cell a=5.8500 b=5.8500 c=6.4848 alpha=90.00 beta=90.00 gamma=120.00
With the nearest neighbours (Å) after each atom.
Element x y z (fractional)
Cs 0.0000 0.0000 0.0000  6 O 3.12
Er 0.3333 0.6667 0.5000  6 O 2.25
Np 0.6667 0.3333 0.5000  6 O 2.00
O 0.4031 0.0308 0.6711  1 Np 2.00
O 0.4031 0.3723 0.3289  1 Np 2.00
O 0.6277 0.0308 0.3289  1 Np 2.00
O 0.6277 0.5969 0.6711  1 Np 2.00
O 0.9692 0.3723 0.6711  1 Np 2.00
O 0.9692 0.5969 0.3289  1 Np 2.00


(7)
Density functional theory data (PBE) for an optimized crystal structure of Cs2Er2NpS6.

Summary:
Fermi-level density of states (states/eV/cell): 5.39
Formation energy (no corrections) (kJ/mol of atoms): -165.55

Unit cell a=6.9527 b=6.9527 c=8.5828 alpha=97.95 beta=97.95 gamma=119.99
With the nearest neighbours (Å) after each atom.
Element x y z (fractional)
Cs 0.1685 0.8315 0.0000  6 S 3.53-3.55
Cs 0.8315 0.1685 0.0000  6 S 3.53-3.55
Er 0.3335 0.6665 0.5000  6 S 2.74-2.75
Er 0.6665 0.3335 0.5000  6 S 2.74-2.75
Np 0.0000 0.0000 0.5000  6 S 2.71-2.72
S 0.0589 0.3899 0.6757  1 Np 2.72, 2 Er 2.74-2.75
S 0.2693 0.2693 0.3245  1 Np 2.71, 2 Er 2.74
S 0.3899 0.0589 0.6757  1 Np 2.72, 2 Er 2.74-2.75
S 0.6101 0.9411 0.3243  1 Np 2.72, 2 Er 2.74-2.75
S 0.7307 0.7307 0.6755  1 Np 2.71, 2 Er 2.74
S 0.9411 0.6101 0.3243  1 Np 2.72, 2 Er 2.74-2.75


(8)
Density functional theory data (PBE) for an optimized crystal structure of Cs2ErNp2S6.

Summary:
Fermi-level density of states (states/eV/cell): 18.63
Formation energy (no corrections) (kJ/mol of atoms): -150.61

Unit cell a=6.9940 b=6.9940 c=8.5485 alpha=97.71 beta=97.71 gamma=120.01
With the nearest neighbours (Å) after each atom.
Element x y z (fractional)
Cs 0.1657 0.8343 0.0000  6 S 3.54-3.55
Cs 0.8343 0.1657 0.0000  6 S 3.54-3.55
Er 0.0000 0.0000 0.5000  6 S 2.74-2.75
Np 0.3339 0.6661 0.5000  6 S 2.73-2.74
Np 0.6661 0.3339 0.5000  6 S 2.73-2.74
S 0.0563 0.3920 0.6748  2 Np 2.73-2.74, 1 Er 2.75
S 0.2755 0.2755 0.3250  2 Np 2.74, 1 Er 2.74
S 0.3920 0.0563 0.6748  2 Np 2.73-2.74, 1 Er 2.75
S 0.6080 0.9437 0.3252  2 Np 2.73-2.74, 1 Er 2.75
S 0.7245 0.7245 0.6750  2 Np 2.74, 1 Er 2.74
S 0.9437 0.6080 0.3252  2 Np 2.73-2.74, 1 Er 2.75


| no. | electronic total energy (eV per atom) |
| --- | --- |
| 1 | -5.26 |
| 2 | -5.27 |
| 3 | -5.91 |
| 4 | -4.54 |
| 5 | -4.32 |
| 6 | -7.86 |
| 7 | -6.13 |
| 8 | -6.74 |